Entry 1:
# Cs3AsBr8 PBE relaxed
# symmetry	No. 139
# raw formation energy	-0.789	eV/atom
# total energy	-2.505	eV/atom
# DOS(E_F)	16.5	states/eV/f.u.
data_Cs3AsBr8
_chemical_formula_sum 'Cs3 As1 Br8'
_cell_length_a 8.125
_cell_length_b 8.125
_cell_length_c 9.822
_cell_angle_alpha 114.43
_cell_angle_beta 114.43
_cell_angle_gamma 90.00
_space_group_name_H-M_alt 'P 1'
_space_group_IT_number 1
loop_
_space_group_symop_operation_xyz
'x,y,z'
loop_
_atom_site_label
_atom_site_type_symbol
_atom_site_fract_x
_atom_site_fract_y
_atom_site_fract_z
Br1 Br 0.899 0.899 0.209
Br2 Br 0.311 0.311 0.209
Cs1 Cs 0.250 0.750 0.500
Cs2 Cs 0.500 0.500 0.000
Br3 Br 0.101 0.101 0.791
Br4 Br 0.689 0.689 0.791
Br5 Br 0.689 0.101 0.791
Cs3 Cs 0.750 0.250 0.500
Br6 Br 0.899 0.311 0.209
Br7 Br 0.101 0.689 0.791
Br8 Br 0.311 0.899 0.209
As1 As 0.000 0.000 0.000


Entry 2:
# CaMgIn2 PBE relaxed
# symmetry	No. 44
# calculated formation energy	-0.9	eV/f.u.
# total energy	-2.504	eV/atom
# DOS(E_F)	2.2	states/eV/f.u.
data_CaMgIn2
_chemical_formula_sum 'Ca1 Mg1 In2'
_cell_length_a 5.836
_cell_length_b 5.836
_cell_length_c 5.836
_cell_angle_alpha 132.73
_cell_angle_beta 132.64
_cell_angle_gamma 69.14
_space_group_name_H-M_alt 'P 1'
_space_group_IT_number 1
loop_
_space_group_symop_operation_xyz
'x,y,z'
loop_
_atom_site_label
_atom_site_type_symbol
_atom_site_fract_x
_atom_site_fract_y
_atom_site_fract_z
Mg1 Mg 0.500 0.500 0.000
Ca1 Ca 0.250 0.750 0.500
In1 In 0.751 0.251 0.500
In2 In 0.000 0.000 0.000


Entry 3:
# Ca2Cu2As PBE relaxed
# excess energy over the best structure of this formula in the dataset	5	meV per atom
# symmetry	No. 127
# calculated formation energy	-1.8	eV/f.u.
# total energy	-3.734	eV/atom
# DOS(E_F)	1.5	states/eV/f.u.
data_Ca2Cu2As
_chemical_formula_sum 'Ca4 Cu4 As2'
_cell_length_a 6.984
_cell_length_b 6.984
_cell_length_c 4.272
_cell_angle_alpha 90.00
_cell_angle_beta 90.00
_cell_angle_gamma 90.00
_space_group_name_H-M_alt 'P 1'
_space_group_IT_number 1
loop_
_space_group_symop_operation_xyz
'x,y,z'
loop_
_atom_site_label
_atom_site_type_symbol
_atom_site_fract_x
_atom_site_fract_y
_atom_site_fract_z
Ca1 Ca 0.685 0.815 0.500
As1 As 0.000 0.000 0.000
Cu1 Cu 0.620 0.120 0.000
Ca2 Ca 0.315 0.185 0.500
Cu2 Cu 0.120 0.380 0.000
Ca3 Ca 0.815 0.315 0.500
Cu3 Cu 0.380 0.880 0.000
Cu4 Cu 0.880 0.620 0.000
As2 As 0.500 0.500 0.000
Ca4 Ca 0.185 0.685 0.500


Entry 4:
# RbWS2N PBE relaxed
# excess energy over the best structure of this formula in the dataset	0	meV per atom
# symmetry	No. 123
# raw formation energy	-0.331	eV/atom
# total energy	-6.432	eV/atom
# DOS(E_F)	3.4	states/eV/f.u.
data_RbWS2N
_chemical_formula_sum 'Rb1 W1 S2 N1'
_cell_length_a 4.923
_cell_length_b 4.923
_cell_length_c 3.943
_cell_angle_alpha 90.00
_cell_angle_beta 90.00
_cell_angle_gamma 90.00
_space_group_name_H-M_alt 'P 1'
_space_group_IT_number 1
loop_
_space_group_symop_operation_xyz
'x,y,z'
loop_
_atom_site_label
_atom_site_type_symbol
_atom_site_fract_x
_atom_site_fract_y
_atom_site_fract_z
W1 W 0.000 0.000 0.000
Rb1 Rb 0.500 0.500 0.500
S1 S 0.000 0.500 0.000
S2 S 0.500 0.000 0.000
N1 N 0.000 0.000 0.500


Entry 5:
# AcPr2Zr PBE relaxed
# excess energy over the best structure of this formula in the dataset	0	meV per atom
# symmetry	No. 123
# calculated formation energy	0.7	eV/f.u.
# total energy	-5.367	eV/atom
# DOS(E_F)	4.7	states/eV/f.u.
data_AcPr2Zr
_chemical_formula_sum 'Ac1 Pr2 Zr1'
_cell_length_a 5.177
_cell_length_b 5.102
_cell_length_c 5.102
_cell_angle_alpha 90.00
_cell_angle_beta 90.00
_cell_angle_gamma 90.00
_space_group_name_H-M_alt 'P 1'
_space_group_IT_number 1
loop_
_space_group_symop_operation_xyz
'x,y,z'
loop_
_atom_site_label
_atom_site_type_symbol
_atom_site_fract_x
_atom_site_fract_y
_atom_site_fract_z
Ac1 Ac 0.500 0.000 0.000
Pr1 Pr 0.000 0.000 0.500
Zr1 Zr 0.500 0.500 0.500
Pr2 Pr 0.000 0.500 0.000


Entry 6:
# SbHBr PBE relaxed
# excess energy over the best structure of this formula in the dataset	95	meV per atom
# symmetry	No. 2
# total energy	-3.164	eV/atom
data_SbHBr
_chemical_formula_sum 'Sb2 H2 Br2'
_cell_length_a 5.563
_cell_length_b 7.135
_cell_length_c 7.794
_cell_angle_alpha 142.81
_cell_angle_beta 110.89
_cell_angle_gamma 80.96
_space_group_name_H-M_alt 'P 1'
_space_group_IT_number 1
loop_
_space_group_symop_operation_xyz
'x,y,z'
loop_
_atom_site_label
_atom_site_type_symbol
_atom_site_fract_x
_atom_site_fract_y
_atom_site_fract_z
H1 H 0.370 0.032 0.765
Br1 Br 0.820 0.606 0.476
Sb1 Sb 0.273 0.621 0.416
Sb2 Sb 0.066 0.720 0.096
Br2 Br 0.518 0.735 0.037
H2 H 0.969 0.309 0.748


Entry 7:
# TlAg3 PBE relaxed
# symmetry	No. 225
# calculated formation energy	0.5	eV/f.u.
# total energy	-2.603	eV/atom
# DOS(E_F)	2.1	states/eV/f.u.
data_TlAg3
_chemical_formula_sum 'Tl1 Ag3'
_cell_length_a 4.829
_cell_length_b 4.829
_cell_length_c 4.829
_cell_angle_alpha 60.00
_cell_angle_beta 60.00
_cell_angle_gamma 60.00
_space_group_name_H-M_alt 'P 1'
_space_group_IT_number 1
loop_
_space_group_symop_operation_xyz
'x,y,z'
loop_
_atom_site_label
_atom_site_type_symbol
_atom_site_fract_x
_atom_site_fract_y
_atom_site_fract_z
Tl1 Tl 0.250 0.250 0.250
Ag1 Ag 0.750 0.750 0.750
Ag2 Ag 0.000 0.000 0.000
Ag3 Ag 0.500 0.500 0.500


Entry 8:
# PrSm3Mg PBE relaxed
# excess energy over the best structure of this formula in the dataset	3	meV per atom
# symmetry	No. 44
# calculated formation energy	0.2	eV/f.u.
# total energy	-4.069	eV/atom
# DOS(E_F)	6.5	states/eV/f.u.
data_PrSm3Mg
_chemical_formula_sum 'Pr1 Sm3 Mg1'
_cell_length_a 3.530
_cell_length_b 5.722
_cell_length_c 8.789
_cell_angle_alpha 109.00
_cell_angle_beta 101.59
_cell_angle_gamma 90.00
_space_group_name_H-M_alt 'P 1'
_space_group_IT_number 1
loop_
_space_group_symop_operation_xyz
'x,y,z'
loop_
_atom_site_label
_atom_site_type_symbol
_atom_site_fract_x
_atom_site_fract_y
_atom_site_fract_z
Pr1 Pr 0.635 0.635 0.270
Sm1 Sm 0.925 0.425 0.850
Mg1 Mg 0.035 0.035 0.069
Sm2 Sm 0.347 0.847 0.694
Sm3 Sm 0.235 0.235 0.470


Entry 9:
# Mg2ZnIr PBE relaxed
# symmetry	No. 35
# calculated formation energy	0.0	eV/f.u.
# total energy	-3.321	eV/atom
# DOS(E_F)	1.6	states/eV/f.u.
data_Mg2ZnIr
_chemical_formula_sum 'Mg2 Zn1 Ir1'
_cell_length_a 2.878
_cell_length_b 2.878
_cell_length_c 9.246
_cell_angle_alpha 90.00
_cell_angle_beta 90.00
_cell_angle_gamma 115.65
_space_group_name_H-M_alt 'P 1'
_space_group_IT_number 1
loop_
_space_group_symop_operation_xyz
'x,y,z'
loop_
_atom_site_label
_atom_site_type_symbol
_atom_site_fract_x
_atom_site_fract_y
_atom_site_fract_z
Mg1 Mg 0.500 0.500 0.264
Mg2 Mg 0.000 0.000 0.973
Zn1 Zn 0.000 0.000 0.520
Ir1 Ir 0.500 0.500 0.743


Entry 10:
# CsTmCoBr6 PBE relaxed
# symmetry	No. 5
# raw formation energy	-1.320	eV/atom
# total energy	-3.816	eV/atom
# DOS(E_F)	1.1	states/eV/f.u.
data_CsTmCoBr6
_chemical_formula_sum 'Cs1 Tm1 Co1 Br6'
_cell_length_a 7.025
_cell_length_b 7.025
_cell_length_c 8.220
_cell_angle_alpha 89.84
_cell_angle_beta 90.16
_cell_angle_gamma 59.94
_space_group_name_H-M_alt 'P 1'
_space_group_IT_number 1
loop_
_space_group_symop_operation_xyz
'x,y,z'
loop_
_atom_site_label
_atom_site_type_symbol
_atom_site_fract_x
_atom_site_fract_y
_atom_site_fract_z
Br1 Br 0.634 0.984 0.312
Br2 Br 0.983 0.382 0.312
Br3 Br 0.628 0.388 0.691
Tm1 Tm 0.333 0.333 0.500
Br4 Br 0.984 0.634 0.687
Cs1 Cs 0.000 0.000 0.000
Br5 Br 0.382 0.983 0.688
Co1 Co 0.667 0.667 0.500
Br6 Br 0.388 0.628 0.309


Entry 11:
# RbNaMg2I6 PBE relaxed
# symmetry	No. 15
# raw formation energy	-1.139	eV/atom
# total energy	-2.616	eV/atom
# DOS(E_F)	0.0	states/eV/f.u.
data_RbNaMg2I6
_chemical_formula_sum 'Rb2 Na2 Mg4 I12'
_cell_length_a 8.004
_cell_length_b 10.931
_cell_length_c 10.931
_cell_angle_alpha 90.08
_cell_angle_beta 83.13
_cell_angle_gamma 83.13
_space_group_name_H-M_alt 'P 1'
_space_group_IT_number 1
loop_
_space_group_symop_operation_xyz
'x,y,z'
loop_
_atom_site_label
_atom_site_type_symbol
_atom_site_fract_x
_atom_site_fract_y
_atom_site_fract_z
Na1 Na 0.250 0.279 0.721
Mg1 Mg 0.273 0.383 0.222
Mg2 Mg 0.227 0.778 0.617
I1 I 0.103 0.599 0.160
Mg3 Mg 0.727 0.617 0.778
I2 I 0.407 0.573 0.716
I3 I 0.818 0.024 0.224
Na2 Na 0.750 0.721 0.279
I4 I 0.397 0.840 0.401
I5 I 0.182 0.976 0.776
I6 I 0.318 0.224 0.024
I7 I 0.603 0.160 0.599
I8 I 0.093 0.284 0.427
I9 I 0.682 0.776 0.976
Rb1 Rb 0.250 0.899 0.101
I10 I 0.897 0.401 0.840
I11 I 0.593 0.427 0.284
I12 I 0.907 0.716 0.573
Rb2 Rb 0.750 0.101 0.899
Mg4 Mg 0.773 0.222 0.383


Entry 12:
# Ac3NdY3 PBE relaxed
# symmetry	No. 148
# calculated formation energy	0.4	eV/f.u.
# total energy	-5.162	eV/atom
# DOS(E_F)	11.7	states/eV/f.u.
data_Ac3NdY3
_chemical_formula_sum 'Ac6 Nd2 Y6'
_cell_length_a 9.967
_cell_length_b 9.967
_cell_length_c 8.436
_cell_angle_alpha 53.79
_cell_angle_beta 53.79
_cell_angle_gamma 60.00
_space_group_name_H-M_alt 'P 1'
_space_group_IT_number 1
loop_
_space_group_symop_operation_xyz
'x,y,z'
loop_
_atom_site_label
_atom_site_type_symbol
_atom_site_fract_x
_atom_site_fract_y
_atom_site_fract_z
Y1 Y 0.400 0.533 0.252
Ac1 Ac 0.114 0.958 0.252
Ac2 Ac 0.886 0.042 0.748
Ac3 Ac 0.042 0.324 0.748
Y2 Y 0.816 0.400 0.252
Y3 Y 0.533 0.816 0.252
Nd1 Nd 0.256 0.256 0.233
Y4 Y 0.467 0.184 0.748
Nd2 Nd 0.744 0.744 0.767
Y5 Y 0.184 0.600 0.748
Ac4 Ac 0.958 0.676 0.252
Y6 Y 0.600 0.467 0.748
Ac5 Ac 0.676 0.114 0.252
Ac6 Ac 0.324 0.886 0.748


Entry 13:
# Pa2FeSi4Ni3 PBE relaxed
# symmetry	No. 115
# raw formation energy	-0.767	eV/atom
# total energy	-7.417	eV/atom
# DOS(E_F)	4.3	states/eV/f.u.
data_Pa2FeSi4Ni3
_chemical_formula_sum 'Pa2 Fe1 Si4 Ni3'
_cell_length_a 3.988
_cell_length_b 3.988
_cell_length_c 9.357
_cell_angle_alpha 90.00
_cell_angle_beta 90.00
_cell_angle_gamma 90.00
_space_group_name_H-M_alt 'P 1'
_space_group_IT_number 1
loop_
_space_group_symop_operation_xyz
'x,y,z'
loop_
_atom_site_label
_atom_site_type_symbol
_atom_site_fract_x
_atom_site_fract_y
_atom_site_fract_z
Fe1 Fe 0.500 0.500 0.500
Ni1 Ni 0.000 0.000 0.500
Pa1 Pa 0.500 0.000 0.255
Si1 Si 0.500 0.500 0.000
Ni2 Ni 0.000 0.500 0.125
Ni3 Ni 0.500 0.000 0.875
Si2 Si 0.500 0.000 0.629
Si3 Si 0.000 0.500 0.371
Si4 Si 0.000 0.000 0.000
Pa2 Pa 0.000 0.500 0.745


Entry 14:
# PuPaPb PBE relaxed
# excess energy over the best structure of this formula in the dataset	0	meV per atom
# symmetry	No. 107
# calculated formation energy	0.4	eV/f.u.
# total energy	-9.059	eV/atom
# DOS(E_F)	8.2	states/eV/f.u.
data_PuPaPb
_chemical_formula_sum 'Pu1 Pa1 Pb1'
_cell_length_a 3.248
_cell_length_b 3.248
_cell_length_c 7.876
_cell_angle_alpha 101.90
_cell_angle_beta 101.90
_cell_angle_gamma 90.00
_space_group_name_H-M_alt 'P 1'
_space_group_IT_number 1
loop_
_space_group_symop_operation_xyz
'x,y,z'
loop_
_atom_site_label
_atom_site_type_symbol
_atom_site_fract_x
_atom_site_fract_y
_atom_site_fract_z
Pa1 Pa 0.004 0.004 0.008
Pb1 Pb 0.333 0.333 0.666
Pu1 Pu 0.663 0.663 0.326


Entry 15:
# LaAs3 PBE relaxed
# symmetry	No. 225
# calculated formation energy	-1.4	eV/f.u.
# total energy	-5.073	eV/atom
# DOS(E_F)	1.9	states/eV/f.u.
data_LaAs3
_chemical_formula_sum 'La1 As3'
_cell_length_a 5.081
_cell_length_b 5.081
_cell_length_c 5.081
_cell_angle_alpha 60.00
_cell_angle_beta 60.00
_cell_angle_gamma 60.00
_space_group_name_H-M_alt 'P 1'
_space_group_IT_number 1
loop_
_space_group_symop_operation_xyz
'x,y,z'
loop_
_atom_site_label
_atom_site_type_symbol
_atom_site_fract_x
_atom_site_fract_y
_atom_site_fract_z
As1 As 0.000 0.000 0.000
La1 La 0.250 0.250 0.250
As2 As 0.750 0.750 0.750
As3 As 0.500 0.500 0.500


Entry 16:
# TiCuHRu2 PBE relaxed
# excess energy over the best structure of this formula in the dataset	11	meV per atom
# symmetry	No. 123
# total energy	-6.940	eV/atom
# DOS(E_F)	3.7	states/eV/f.u.
data_TiCuHRu2
_chemical_formula_sum 'Ti1 Cu1 H1 Ru2'
_cell_length_a 3.881
_cell_length_b 3.881
_cell_length_c 3.843
_cell_angle_alpha 90.00
_cell_angle_beta 90.00
_cell_angle_gamma 90.00
_space_group_name_H-M_alt 'P 1'
_space_group_IT_number 1
loop_
_space_group_symop_operation_xyz
'x,y,z'
loop_
_atom_site_label
_atom_site_type_symbol
_atom_site_fract_x
_atom_site_fract_y
_atom_site_fract_z
H1 H 0.000 0.000 0.000
Ru1 Ru 0.000 0.500 0.000
Cu1 Cu 0.500 0.500 0.500
Ru2 Ru 0.500 0.000 0.000
Ti1 Ti 0.000 0.000 0.500


Entry 17:
# CaBSb2I PBE relaxed
# excess energy over the best structure of this formula in the dataset	0	meV per atom
# symmetry	No. 123
# raw formation energy	0.246	eV/atom
# total energy	-3.448	eV/atom
# DOS(E_F)	5.1	states/eV/f.u.
data_CaBSb2I
_chemical_formula_sum 'Ca1 B1 Sb2 I1'
_cell_length_a 4.750
_cell_length_b 4.750
_cell_length_c 6.347
_cell_angle_alpha 90.00
_cell_angle_beta 90.00
_cell_angle_gamma 90.00
_space_group_name_H-M_alt 'P 1'
_space_group_IT_number 1
loop_
_space_group_symop_operation_xyz
'x,y,z'
loop_
_atom_site_label
_atom_site_type_symbol
_atom_site_fract_x
_atom_site_fract_y
_atom_site_fract_z
Sb1 Sb 0.500 0.000 0.000
Ca1 Ca 0.500 0.500 0.500
B1 B 0.000 0.000 0.000
I1 I 0.000 0.000 0.500
Sb2 Sb 0.000 0.500 0.000


Entry 18:
# PrNiGe2Rh2 PBE relaxed
# symmetry	No. 123
# calculated formation energy	-2.1	eV/f.u.
# total energy	-6.098	eV/atom
# DOS(E_F)	3.4	states/eV/f.u.
data_PrNiGe2Rh2
_chemical_formula_sum 'Pr1 Ni1 Ge2 Rh2'
_cell_length_a 4.454
_cell_length_b 4.454
_cell_length_c 5.545
_cell_angle_alpha 90.00
_cell_angle_beta 90.00
_cell_angle_gamma 90.00
_space_group_name_H-M_alt 'P 1'
_space_group_IT_number 1
loop_
_space_group_symop_operation_xyz
'x,y,z'
loop_
_atom_site_label
_atom_site_type_symbol
_atom_site_fract_x
_atom_site_fract_y
_atom_site_fract_z
Rh1 Rh 0.500 0.500 0.256
Pr1 Pr 0.000 0.000 0.500
Ge1 Ge 0.500 0.000 0.000
Ge2 Ge 0.000 0.500 0.000
Rh2 Rh 0.500 0.500 0.744
Ni1 Ni 0.000 0.000 0.000


Entry 19:
# CePmDy3 PBE relaxed
# symmetry	No. 2
# calculated formation energy	0.3	eV/f.u.
# total energy	-4.834	eV/atom
# DOS(E_F)	10.5	states/eV/f.u.
data_CePmDy3
_chemical_formula_sum 'Ce2 Pm2 Dy6'
_cell_length_a 6.181
_cell_length_b 9.411
_cell_length_c 9.410
_cell_angle_alpha 130.03
_cell_angle_beta 102.67
_cell_angle_gamma 109.01
_space_group_name_H-M_alt 'P 1'
_space_group_IT_number 1
loop_
_space_group_symop_operation_xyz
'x,y,z'
loop_
_atom_site_label
_atom_site_type_symbol
_atom_site_fract_x
_atom_site_fract_y
_atom_site_fract_z
Pm1 Pm 0.550 0.098 0.252
Dy1 Dy 0.149 0.296 0.246
Dy2 Dy 0.744 0.501 0.248
Ce1 Ce 0.951 0.904 0.259
Dy3 Dy 0.348 0.698 0.249
Pm2 Pm 0.450 0.902 0.748
Ce2 Ce 0.049 0.096 0.741
Dy4 Dy 0.851 0.704 0.754
Dy5 Dy 0.652 0.302 0.751
Dy6 Dy 0.256 0.499 0.752


Entry 20:
# Na2SrY2 PBE relaxed
# symmetry	No. 127
# calculated formation energy	1.9	eV/f.u.
# total energy	-3.070	eV/atom
# DOS(E_F)	6.2	states/eV/f.u.
data_Na2SrY2
_chemical_formula_sum 'Na4 Sr2 Y4'
_cell_length_a 10.098
_cell_length_b 10.098
_cell_length_c 3.659
_cell_angle_alpha 90.00
_cell_angle_beta 90.00
_cell_angle_gamma 90.00
_space_group_name_H-M_alt 'P 1'
_space_group_IT_number 1
loop_
_space_group_symop_operation_xyz
'x,y,z'
loop_
_atom_site_label
_atom_site_type_symbol
_atom_site_fract_x
_atom_site_fract_y
_atom_site_fract_z
Sr1 Sr 0.500 0.500 0.000
Na1 Na 0.836 0.664 0.000
Y1 Y 0.871 0.371 0.500
Na2 Na 0.336 0.836 0.000
Na3 Na 0.664 0.164 0.000
Y2 Y 0.129 0.629 0.500
Sr2 Sr 0.000 0.000 0.000
Y3 Y 0.629 0.871 0.500
Na4 Na 0.164 0.336 0.000
Y4 Y 0.371 0.129 0.500


Per-record total moment, μB per atom: 0.1040, 0.0000, 0.0000, 0.0000, 0.0000, 0.0000, 0.0000, 0.0000, 0.0000, 0.3333, 0.0000, 0.0000, 0.0664, 1.8070, 0.0000, 0.0000, 0.0000, 0.0000, 0.2336, 0.2272